No. 1
# Hf8SN2 PBE-GGA optimized geometry
# Formation energy (no corrections)   -0.6921 eV/atom
# Energy above the lowest structure with this stoichiometry   143.6 meV/atom
data_Hf8SN2
_cell_length_a 11.828
_cell_length_b 6.605
_cell_length_c 5.545
_cell_angle_alpha 90.00
_cell_angle_beta 93.07
_cell_angle_gamma 90.00
_symmetry_space_group_name_H-M 'C 1 2/m 1'
_symmetry_Int_Tables_number 12
_symmetry_space_group_name_Hall '-C 2y'
loop_
_atom_site_label
_atom_site_type_symbol
_atom_site_fract_x
_atom_site_fract_y
_atom_site_fract_z
Hf1 Hf 0.086 0.239 0.223
Hf2 Hf 0.156 0.000 0.746
Hf3 Hf 0.175 0.500 0.778
S1 S 0.000 0.500 0.500
N1 N 0.177 0.500 0.153

---

No. 2
# Hf6SN PBE-GGA optimized geometry
# Formation energy (no corrections)   -0.8144 eV/atom
# Energy above the lowest structure with this stoichiometry   2.5 meV/atom
data_Hf6SN
_cell_length_a 5.7108
_cell_length_b 5.7108
_cell_length_c 16.3134
_cell_angle_alpha 90.00
_cell_angle_beta 90.00
_cell_angle_gamma 120.00
_symmetry_space_group_name_H-M 'R -3'
_symmetry_Int_Tables_number 148
_symmetry_space_group_name_Hall '-R 3'
loop_
_atom_site_label
_atom_site_type_symbol
_atom_site_fract_x
_atom_site_fract_y
_atom_site_fract_z
Hf1 Hf 0.0056 0.3494 0.0906
S1 S 0.0000 0.0000 0.0000
N1 N 0.0000 0.0000 0.5000

---

No. 3
# HfS2N2 PBE-GGA optimized geometry
# Formation energy (no corrections)   0.1244 eV/atom
# Energy above the lowest structure with this stoichiometry   346.3 meV/atom
data_HfS2N2
_cell_length_a 6.179
_cell_length_b 6.179
_cell_length_c 3.652
_cell_angle_alpha 90.00
_cell_angle_beta 90.00
_cell_angle_gamma 90.00
_symmetry_space_group_name_H-M 'P 4/m b m'
_symmetry_Int_Tables_number 127
_symmetry_space_group_name_Hall '-P 4 2ab'
loop_
_atom_site_label
_atom_site_type_symbol
_atom_site_fract_x
_atom_site_fract_y
_atom_site_fract_z
Hf1 Hf 0.000 0.000 0.000
S1 S 0.164 0.336 0.500
N1 N 0.231 0.269 0.000

---

No. 4
# HfS3N PBE-GGA optimized geometry
# Formation energy (no corrections)   0.3557 eV/atom
# Energy above the lowest structure with this stoichiometry   0.0 meV/atom
data_HfS3N
_cell_length_a 4.143
_cell_length_b 4.143
_cell_length_c 4.143
_cell_angle_alpha 90.00
_cell_angle_beta 90.00
_cell_angle_gamma 90.00
_symmetry_space_group_name_H-M 'P m -3 m'
_symmetry_Int_Tables_number 221
_symmetry_space_group_name_Hall '-P 4 2 3'
loop_
_atom_site_label
_atom_site_type_symbol
_atom_site_fract_x
_atom_site_fract_y
_atom_site_fract_z
Hf1 Hf 0.000 0.000 0.000
S1 S 0.000 0.500 0.500
N1 N 0.500 0.500 0.500

---

No. 5
# HfS2N2 PBE-GGA optimized geometry
# Formation energy (no corrections)   1.0486 eV/atom
# Energy above the lowest structure with this stoichiometry   1270.5 meV/atom
data_HfS2N2
_cell_length_a 4.987
_cell_length_b 4.987
_cell_length_c 4.259
_cell_angle_alpha 90.00
_cell_angle_beta 90.00
_cell_angle_gamma 90.00
_symmetry_space_group_name_H-M 'P 4/m m m'
_symmetry_Int_Tables_number 123
_symmetry_space_group_name_Hall '-P 4 2'
loop_
_atom_site_label
_atom_site_type_symbol
_atom_site_fract_x
_atom_site_fract_y
_atom_site_fract_z
Hf1 Hf 0.000 0.000 0.000
S1 S 0.000 0.500 0.000
N1 N 0.000 0.000 0.500
N2 N 0.500 0.500 0.500

---

No. 6
# Hf2S2N PBE-GGA optimized geometry
# Formation energy (no corrections)   -1.5193 eV/atom
data_Hf2S2N
_cell_length_a 6.481
_cell_length_b 9.667
_cell_length_c 5.309
_cell_angle_alpha 90.00
_cell_angle_beta 90.00
_cell_angle_gamma 90.00
_symmetry_space_group_name_H-M 'I b a m'
_symmetry_Int_Tables_number 72
_symmetry_space_group_name_Hall '-I 2 2c'
loop_
_atom_site_label
_atom_site_type_symbol
_atom_site_fract_x
_atom_site_fract_y
_atom_site_fract_z
Hf1 Hf 0.210 0.097 0.000
S1 S 0.121 0.353 0.000
N1 N 0.000 0.000 0.250

---

No. 7
# HfS2N2 PBE-GGA optimized geometry
# Formation energy (no corrections)   0.7581 eV/atom
# Energy above the lowest structure with this stoichiometry   980.0 meV/atom
data_HfS2N2
_cell_length_a 3.726
_cell_length_b 3.726
_cell_length_c 4.283
_cell_angle_alpha 90.00
_cell_angle_beta 90.00
_cell_angle_gamma 90.00
_symmetry_space_group_name_H-M 'P 4/m m m'
_symmetry_Int_Tables_number 123
_symmetry_space_group_name_Hall '-P 4 2'
loop_
_atom_site_label
_atom_site_type_symbol
_atom_site_fract_x
_atom_site_fract_y
_atom_site_fract_z
Hf1 Hf 0.000 0.000 0.000
S1 S 0.500 0.500 0.000
S2 S 0.500 0.500 0.500
N1 N 0.000 0.500 0.500

---

No. 8
# HfSbSN2 PBE-GGA optimized geometry
# Formation energy (no corrections)   0.7992 eV/atom
# Energy above the lowest structure with this stoichiometry   642.6 meV/atom
data_HfSbSN2
_cell_length_a 4.014
_cell_length_b 4.014
_cell_length_c 4.878
_cell_angle_alpha 90.00
_cell_angle_beta 90.00
_cell_angle_gamma 90.00
_symmetry_space_group_name_H-M 'P 4/m m m'
_symmetry_Int_Tables_number 123
_symmetry_space_group_name_Hall '-P 4 2'
loop_
_atom_site_label
_atom_site_type_symbol
_atom_site_fract_x
_atom_site_fract_y
_atom_site_fract_z
Hf1 Hf 0.000 0.000 0.000
Sb1 Sb 0.500 0.500 0.500
S1 S 0.500 0.500 0.000
N1 N 0.000 0.500 0.500

---

No. 9
# HfSbSN2 PBE-GGA optimized geometry
# Formation energy (no corrections)   0.1566 eV/atom
# Energy above the lowest structure with this stoichiometry   0.0 meV/atom
data_HfSbSN2
_cell_length_a 4.149
_cell_length_b 4.149
_cell_length_c 5.123
_cell_angle_alpha 90.00
_cell_angle_beta 90.00
_cell_angle_gamma 90.00
_symmetry_space_group_name_H-M 'P 4/m m m'
_symmetry_Int_Tables_number 123
_symmetry_space_group_name_Hall '-P 4 2'
loop_
_atom_site_label
_atom_site_type_symbol
_atom_site_fract_x
_atom_site_fract_y
_atom_site_fract_z
Hf1 Hf 0.000 0.000 0.000
Sb1 Sb 0.500 0.500 0.500
S1 S 0.000 0.000 0.500
N1 N 0.000 0.500 0.000

---

No. 10
# HfSbS2N PBE-GGA optimized geometry
# Formation energy (no corrections)   -0.1957 eV/atom
# Energy above the lowest structure with this stoichiometry   0.0 meV/atom
data_HfSbS2N
_cell_length_a 5.066
_cell_length_b 5.066
_cell_length_c 3.986
_cell_angle_alpha 90.00
_cell_angle_beta 90.00
_cell_angle_gamma 90.00
_symmetry_space_group_name_H-M 'P 4/m m m'
_symmetry_Int_Tables_number 123
_symmetry_space_group_name_Hall '-P 4 2'
loop_
_atom_site_label
_atom_site_type_symbol
_atom_site_fract_x
_atom_site_fract_y
_atom_site_fract_z
Hf1 Hf 0.000 0.000 0.000
Sb1 Sb 0.500 0.500 0.500
S1 S 0.000 0.500 0.000
N1 N 0.000 0.000 0.500

---

No. 11
# HfSbS2N PBE-GGA optimized geometry
# Formation energy (no corrections)   0.6364 eV/atom
# Energy above the lowest structure with this stoichiometry   832.1 meV/atom
data_HfSbS2N
_cell_length_a 4.988
_cell_length_b 4.988
_cell_length_c 3.903
_cell_angle_alpha 90.00
_cell_angle_beta 90.00
_cell_angle_gamma 90.00
_symmetry_space_group_name_H-M 'P 4/m m m'
_symmetry_Int_Tables_number 123
_symmetry_space_group_name_Hall '-P 4 2'
loop_
_atom_site_label
_atom_site_type_symbol
_atom_site_fract_x
_atom_site_fract_y
_atom_site_fract_z
Hf1 Hf 0.000 0.000 0.000
Sb1 Sb 0.500 0.500 0.500
S1 S 0.000 0.500 0.500
N1 N 0.500 0.500 0.000

---

No. 12
# HfScSN PBE-GGA optimized geometry
# Formation energy (no corrections)   -1.7293 eV/atom
data_HfScSN
_cell_length_a 3.3445
_cell_length_b 3.3445
_cell_length_c 18.0046
_cell_angle_alpha 90.00
_cell_angle_beta 90.00
_cell_angle_gamma 120.00
_symmetry_space_group_name_H-M 'R 3 m'
_symmetry_Int_Tables_number 160
_symmetry_space_group_name_Hall 'R 3 -2"'
loop_
_atom_site_label
_atom_site_type_symbol
_atom_site_fract_x
_atom_site_fract_y
_atom_site_fract_z
Hf1 Hf 0.0000 0.0000 0.0000
Sc1 Sc 0.0000 0.0000 0.7989
S1 S 0.0000 0.0000 0.5680
N1 N 0.0000 0.0000 0.3945

---

> formation energy (no corrections) of number 8 (HfSbSN2)?

0.7992 eV/atom